Material: FeIr3
Method: DFT, PBE-GGA
State: optimized geometry

Cell lengths 5.447, 5.447, 4.323 Å; angles 90.00, 90.00, 120.00 degrees
Each line ends with the local moment (μB).
Element x y z (fractional)
Fe (0.667, 0.333, 0.250)  2.59
Fe (0.333, 0.667, 0.750)  2.59
Ir (0.170, 0.339, 0.250)  0.06
Ir (0.170, 0.830, 0.250)  -0.01
Ir (0.661, 0.830, 0.250)  0.16
Ir (0.339, 0.170, 0.750)  0.16
Ir (0.830, 0.170, 0.750)  -0.01
Ir (0.830, 0.661, 0.750)  0.06

## Properties
Magnetization   2.820 μB/f.u.
E_form   -0.0376 eV per atom
Uncorrected energy   -70.0 eV per cell
Mass density   18.9 g/cm3